P:
4
Lattice="3.415 0.000 0.000 0.000 3.415 0.000 0.000 0.000 9.462" Properties=species:S:1:pos:R:3 comment="Pu2ThMg, relaxed, DFT PBE" crystal_system=tetragonal magnetic_moment_mub_per_atom=2.883 pbc="T T T"
Pu 0.000 0.000 2.388
Pu 0.000 0.000 7.074
Mg 1.707 1.707 0.000
Th 1.707 1.707 4.731

=====

Q:
4
Lattice="-0.397 -1.345 -5.162 -4.174 -2.881 -1.700 -3.742 2.270 -3.075" Properties=species:S:1:pos:R:3 comment="Pu2ThMg, relaxed, DFT PBE" crystal_system=cubic magnetic_moment_mub_per_atom=3.372 pbc="T T T"
Pu -2.078 -0.489 -2.484
Pu -6.235 -1.467 -7.452
Th -4.157 -0.978 -4.968
Mg 0.000 0.000 0.000

=====

R:
4
Lattice="5.031 0.000 0.000 0.000 4.644 0.000 0.000 0.000 4.644" Properties=species:S:1:pos:R:3 comment="Pu2ThMg, relaxed, DFT PBE" crystal_system=tetragonal magnetic_moment_mub_per_atom=2.987 pbc="T T T"
Pu 0.000 0.000 2.322
Pu 0.000 2.322 0.000
Th 2.516 0.000 0.000
Mg 2.516 2.322 2.322

=====

S:
4
Lattice="3.368 0.000 0.000 1.684 2.917 0.000 1.684 0.972 11.975" Properties=species:S:1:pos:R:3 comment="Pu2ThMg, relaxed, DFT PBE" crystal_system=trigonal magnetic_moment_mub_per_atom=2.894 pbc="T T T"
Mg 0.000 0.000 0.000
Pu 1.684 0.972 8.738
Pu 5.053 2.917 3.237
Th 3.368 1.945 5.987

=====

Bottom line: R, by a margin of 13 meV per atom.

=====

P:
4
Lattice="-0.140 -3.339 -1.443 5.491 -0.553 0.746 -0.904 -2.148 5.058" Properties=species:S:1:pos:R:3 comment="PuTh2Mg, relaxed, DFT PBE" crystal_system=tetragonal magnetic_moment_mub_per_atom=1.504 pbc="T T T"
Pu 2.224 -3.020 2.180
Th -0.452 -1.074 2.529
Th 2.746 -0.276 0.373
Mg -0.070 -1.670 -0.722

=====

Q:
4
Lattice="3.349 0.000 0.000 1.675 2.900 0.000 1.675 0.967 12.342" Properties=species:S:1:pos:R:3 comment="PuTh2Mg, relaxed, DFT PBE" crystal_system=trigonal magnetic_moment_mub_per_atom=1.577 pbc="T T T"
Th 5.024 2.900 3.252
Th 1.675 0.967 9.089
Pu 0.000 0.000 0.000
Mg 3.349 1.934 6.171

=====

R:
4
Lattice="-1.244 4.367 2.948 -4.640 0.154 2.785 0.077 -0.272 5.406" Properties=species:S:1:pos:R:3 comment="PuTh2Mg, relaxed, DFT PBE" crystal_system=cubic magnetic_moment_mub_per_atom=1.700 pbc="T T T"
Th -4.355 3.186 8.354
Th -1.452 1.062 2.785
Pu -2.903 2.124 5.569
Mg 0.000 0.000 0.000

=====

S:
4
Lattice="-0.057 -2.819 -1.971 2.914 -1.717 -0.631 -0.850 -7.998 8.462" Properties=species:S:1:pos:R:3 comment="PuTh2Mg, relaxed, DFT PBE" crystal_system=trigonal magnetic_moment_mub_per_atom=1.412 pbc="T T T"
Mg 1.003 -6.270 2.935
Th -0.401 -6.382 6.138
Th 0.504 -3.128 1.457
Pu 1.056 -11.019 6.724

=====

Bottom line: P, by a margin of 55 meV per atom.

=====

P:
4
Lattice="-3.518 -1.917 0.772 2.023 -3.505 0.518 0.684 1.352 6.472" Properties=species:S:1:pos:R:3 comment="TmPu2Mg, relaxed, DFT PBE" crystal_system=tetragonal magnetic_moment_mub_per_atom=3.226 pbc="T T T"
Pu 0.521 1.029 4.929
Pu 0.163 0.322 1.543
Mg -0.748 -2.711 0.645
Tm -0.405 -2.035 3.881

=====

Q:
4
Lattice="5.186 0.000 0.000 0.000 4.532 0.000 0.000 0.000 4.532" Properties=species:S:1:pos:R:3 comment="TmPu2Mg, relaxed, DFT PBE" crystal_system=tetragonal magnetic_moment_mub_per_atom=3.149 pbc="T T T"
Mg 2.593 2.266 2.266
Tm 2.593 0.000 0.000
Pu 0.000 2.266 0.000
Pu 0.000 0.000 2.266

=====

Bottom line: Q, by a margin of 115 meV per atom.

=====

P:
3
Lattice="3.196 0.000 0.000 0.000 5.464 0.000 0.000 -2.732 4.732" Properties=species:S:1:pos:R:3 comment="YPuMg, relaxed, DFT PBE" crystal_system=trigonal magnetic_moment_mub_per_atom=2.005 pbc="T T T"
Pu 0.943 2.732 1.577
Mg 0.028 0.000 0.000
Y 2.225 0.000 3.155

=====

Q:
3
Lattice="3.403 0.000 0.000 0.000 3.403 0.000 -1.701 -1.701 7.240" Properties=species:S:1:pos:R:3 comment="YPuMg, relaxed, DFT PBE" crystal_system=tetragonal magnetic_moment_mub_per_atom=2.076 pbc="T T T"
Mg 1.701 1.701 2.412
Y 0.000 0.000 0.063
Pu 0.000 0.000 4.764

=====

Bottom line: Q, by a margin of 34 meV per atom.